Compound: LaFeRh2
Source: the Alexandria database
Functional: PBE-GGA
Structure: relaxed

Output
Energy of formation from the pure elements, eV per atom: 0.076
Total moment, μB/cell: 5.3
Energy relative to the lowest polymorph listed for this composition, meV per atom: 376

Unit cell a=4.6944 b=4.6944 c=8.7834 alpha=74.50 beta=74.50 gamma=90.00
Last column: nearest neighbours and their distance in Å.
Fractional positions:
Rh: 0.4692 0.1250 0.2500  2 Fe 2.39, 2 Rh 2.51
Rh: 0.2808 0.6250 0.2500  2 Fe 2.39, 2 Rh 2.51
Rh: 0.3750 0.5308 0.7500  2 Fe 2.39, 2 Rh 2.51
Rh: 0.8750 0.7192 0.7500  2 Fe 2.39, 2 Rh 2.51
Fe: 0.5000 0.5000 0.0000  4 Rh 2.39
Fe: 0.2500 0.7500 0.5000  4 Rh 2.39
La: 0.0000 0.0000 0.0000  4 Rh 3.02, 4 Fe 3.32
La: 0.7500 0.2500 0.5000  4 Rh 3.02, 4 Fe 3.32